Compound: ZnBiAs
Source: Alexandria
Functional: PBE
Structure: optimized geometry

Lattice parameters (Å, degrees): 12.3108 4.0043 5.9562 90.00 95.52 90.00
Space group C2/m (No. 12)
Unique sites:
Zn: 0.0397 0.0000 0.2854
Bi: 0.1430 0.5000 0.7371
As: 0.1599 0.5000 0.2271

Uncorrected energy = -38.36 eV/cell
Polymorph energy (0 for the lowest one) = 0.005 eV/atom
Volume = 292.25 Å³/cell

***

Compound: ScSi2Pt2
Source: Alexandria
Functional: PBE
Structure: optimized geometry

Lattice parameters (Å, degrees): 7.3223 7.3223 2.9305 90.00 90.00 90.00
Space group P4/mbm (No. 127)
Unique sites:
Sc: 0.0000 0.0000 0.0000
Si: 0.1452 0.3548 0.0000
Pt: 0.1503 0.6503 0.5000

Uncorrected energy = -64.38 eV/cell
Volume = 157.12 Å³/cell
Uncorrected formation energy = -586 meV/atom